Here is a relaxed CsCuSnTeS2 crystal from OQMD via LeMat-Bulk. Energies are from PBE.

Output
**Raw total energy**: -3.820 eV per atom
**Symmetry**: No. 63

a b c (Å): 8.564 8.564 11.162
angles (deg): 90.00 90.00 153.87
Sites, in units of the cell vectors:
Cs 0.233 0.767 0.750
Cs 0.767 0.233 0.250
Cu 0.455 0.545 0.250
Cu 0.545 0.455 0.750
Sn 0.000 0.000 0.000
Sn 0.000 0.000 0.500
Te 0.067 0.933 0.250
Te 0.933 0.067 0.750
S 0.397 0.603 0.065
S 0.397 0.603 0.435
S 0.603 0.397 0.565
S 0.603 0.397 0.935



Here is a relaxed CsTaCuTe2S crystal from OQMD via LeMat-Bulk. Energies are from PBE.

Output
**Raw total energy**: -5.001 eV per atom
**Symmetry**: No. 63

a b c (Å): 8.971 8.971 9.903
angles (deg): 90.00 90.00 154.70
Sites, in units of the cell vectors:
Cs 0.238 0.762 0.750
Cs 0.762 0.238 0.250
Ta 0.500 0.500 0.000
Ta 0.500 0.500 0.500
Cu 0.025 0.975 0.250
Cu 0.975 0.025 0.750
Te 0.115 0.885 0.045
Te 0.115 0.885 0.455
Te 0.885 0.115 0.545
Te 0.885 0.115 0.955
S 0.457 0.543 0.250
S 0.543 0.457 0.750



Q: Which formula does entry 1 have?
A: CsCuSnTeS2



Q: Look up the raw total energy of the first one.
A: -3.820 eV per atom